HfMnSb2O8: optimized geometry, PBE with a Hubbard U.

The structure in POSCAR format:
```
HfMnSb2O8
1.0
3.3644 -3.4877 0.0000
3.3644 3.4877 0.0000
0.0000 0.0000 6.3514
Hf Mn Sb O
1 1 2 8
Direct
0.0000 0.0000 0.0000
0.0000 0.0000 0.5000
0.5000 0.5000 0.2532
0.5000 0.5000 0.7468
0.2068 0.2068 0.2376
0.2068 0.2068 0.7624
0.3097 0.6903 0.0000
0.3141 0.6859 0.5000
0.6859 0.3141 0.5000
0.6903 0.3097 0.0000
0.7932 0.7932 0.2376
0.7932 0.7932 0.7624
```

Summary:
**Mass density**: 6.7 Mg/m³
**Total DFT energy (no corrections)**: -89.3 eV per formula unit